# Ba7NaPd3 GGA-PBE relaxed
# * total magnetization: 0.0 Bohr magnetons per cell
# * formation enthalpy at 0 K: -314 meV/atom
# * volume: 492.6 Å³/cell
data_Ba7NaPd3
_chemical_formula_sum 'Ba7 Na1 Pd3'
_cell_length_a 7.9549
_cell_length_b 8.1376
_cell_length_c 7.9549
_cell_angle_alpha 99.95
_cell_angle_beta 97.60
_cell_angle_gamma 99.95
_symmetry_space_group_name_H-M 'P 1'
_symmetry_Int_Tables_number 1
loop_
_symmetry_equiv_pos_as_xyz
'x,y,z'
loop_
_atom_site_label
_atom_site_fract_x
_atom_site_fract_y
_atom_site_fract_z
Ba1 0.8601 0.7900 0.8601
Ba2 0.9776 0.7329 0.3690
Ba3 0.6310 0.2671 0.0224
Ba4 0.3690 0.7329 0.9776
Ba5 0.5000 0.0000 0.5000
Ba6 0.0224 0.2671 0.6310
Ba7 0.1399 0.2100 0.1399
Na1 0.5000 0.5000 0.5000
Pd1 0.2240 0.0000 0.7760
Pd2 0.0000 0.5000 0.0000
Pd3 0.7760 0.0000 0.2240

# Tb3Pm5Ho GGA-PBE relaxed
# * total magnetization: 0.0 Bohr magnetons per cell
# * energy relative to the lowest polymorph listed for this composition: 322.1 meV/atom
# * formation enthalpy at 0 K: 489 meV/atom
# * volume: 677.5 Å³/cell
data_Tb3Pm5Ho
_chemical_formula_sum 'Tb6 Pm10 Ho2'
_cell_length_a 9.6091
_cell_length_b 9.6091
_cell_length_c 11.7550
_cell_angle_alpha 52.71
_cell_angle_beta 52.71
_cell_angle_gamma 74.82
_symmetry_space_group_name_H-M 'P 1'
_symmetry_Int_Tables_number 1
loop_
_symmetry_equiv_pos_as_xyz
'x,y,z'
loop_
_atom_site_label
_atom_site_fract_x
_atom_site_fract_y
_atom_site_fract_z
Tb1 0.6849 0.6849 0.8224
Tb2 0.6625 0.6625 0.3524
Tb3 0.0000 0.0000 0.0000
Tb4 0.0000 0.0000 0.5000
Tb5 0.3151 0.3151 0.1776
Tb6 0.3375 0.3375 0.6476
Pm1 0.8438 0.3390 0.2611
Pm2 0.2536 0.7464 0.0000
Pm3 0.8219 0.8219 0.9526
Pm4 0.4928 0.4928 0.2348
Pm5 0.5072 0.5072 0.7652
Pm6 0.1781 0.1781 0.0474
Pm7 0.3390 0.8438 0.2611
Pm8 0.7464 0.2536 0.0000
Pm9 0.1562 0.6610 0.7389
Pm10 0.6610 0.1562 0.7389
Ho1 0.1560 0.1560 0.5932
Ho2 0.8440 0.8440 0.4068

# CeHfZr GGA-PBE relaxed
# * total magnetization: 0.0 Bohr magnetons per cell
# * energy relative to the lowest polymorph listed for this composition: 95.1 meV/atom
# * formation enthalpy at 0 K: 161 meV/atom
# * volume: 148.7 Å³/cell
data_CeHfZr
_chemical_formula_sum 'Ce2 Hf2 Zr2'
_cell_length_a 3.0952
_cell_length_b 3.0952
_cell_length_c 15.6737
_cell_angle_alpha 95.67
_cell_angle_beta 95.67
_cell_angle_gamma 90.00
_symmetry_space_group_name_H-M 'P 1'
_symmetry_Int_Tables_number 1
loop_
_symmetry_equiv_pos_as_xyz
'x,y,z'
loop_
_atom_site_label
_atom_site_fract_x
_atom_site_fract_y
_atom_site_fract_z
Hf1 0.0506 0.0506 0.1012
Hf2 0.9494 0.9494 0.8988
Zr1 0.6200 0.6200 0.2400
Zr2 0.3800 0.3800 0.7600
Ce1 0.7907 0.7907 0.5815
Ce2 0.2093 0.2093 0.4185

# Dy6Y12Tl GGA-PBE relaxed
# * total magnetization: 0.0 Bohr magnetons per cell
# * formation enthalpy at 0 K: 80 meV/atom
# * volume: 610.6 Å³/cell
data_Dy6Y12Tl
_chemical_formula_sum 'Dy6 Y12 Tl1'
_cell_length_a 8.4858
_cell_length_b 8.4858
_cell_length_c 8.4858
_cell_angle_alpha 88.69
_cell_angle_beta 88.69
_cell_angle_gamma 88.69
_symmetry_space_group_name_H-M 'P 1'
_symmetry_Int_Tables_number 1
loop_
_symmetry_equiv_pos_as_xyz
'x,y,z'
loop_
_atom_site_label
_atom_site_fract_x
_atom_site_fract_y
_atom_site_fract_z
Dy1 0.7409 0.9041 0.2926
Dy2 0.7074 0.2591 0.0959
Dy3 0.0959 0.7074 0.2591
Dy4 0.2591 0.0959 0.7074
Dy5 0.2926 0.7409 0.9041
Dy6 0.9041 0.2926 0.7409
Y1 0.7814 0.5393 0.4340
Y2 0.4340 0.7814 0.5393
Y3 0.5393 0.4340 0.7814
Y4 0.2186 0.4607 0.5660
Y5 0.5660 0.2186 0.4607
Y6 0.4607 0.5660 0.2186
Y7 0.0133 0.1805 0.3639
Y8 0.8195 0.6361 0.9867
Y9 0.6361 0.9867 0.8195
Y10 0.9867 0.8195 0.6361
Y11 0.1805 0.3639 0.0133
Y12 0.3639 0.0133 0.1805
Tl1 0.0000 0.0000 0.0000

# K2TcIr GGA-PBE relaxed
# * total magnetization: 0.0 Bohr magnetons per cell
# * energy relative to the lowest polymorph listed for this composition: 598.6 meV/atom
# * formation enthalpy at 0 K: 1128 meV/atom
# * volume: 82.7 Å³/cell
data_K2TcIr
_chemical_formula_sum 'K2 Tc1 Ir1'
_cell_length_a 6.2842
_cell_length_b 6.2842
_cell_length_c 6.2842
_cell_angle_alpha 144.64
_cell_angle_beta 144.64
_cell_angle_gamma 50.88
_symmetry_space_group_name_H-M 'P 1'
_symmetry_Int_Tables_number 1
loop_
_symmetry_equiv_pos_as_xyz
'x,y,z'
loop_
_atom_site_label
_atom_site_fract_x
_atom_site_fract_y
_atom_site_fract_z
Ir1 0.7500 0.2500 0.5000
K1 0.0000 0.0000 0.0000
K2 0.5000 0.5000 0.0000
Tc1 0.2500 0.7500 0.5000

# LaGaNiRh3 GGA-PBE relaxed
# * total magnetization: 0.0 Bohr magnetons per cell
# * formation enthalpy at 0 K: -301 meV/atom
# * volume: 211.2 Å³/cell
data_LaGaNiRh3
_chemical_formula_sum 'La2 Ga2 Ni2 Rh6'
_cell_length_a 5.7435
_cell_length_b 6.2328
_cell_length_c 6.6713
_cell_angle_alpha 117.85
_cell_angle_beta 90.00
_cell_angle_gamma 90.00
_symmetry_space_group_name_H-M 'P 1'
_symmetry_Int_Tables_number 1
loop_
_symmetry_equiv_pos_as_xyz
'x,y,z'
loop_
_atom_site_label
_atom_site_fract_x
_atom_site_fract_y
_atom_site_fract_z
La1 0.7500 0.2888 0.5776
La2 0.2500 0.7112 0.4224
Ga1 0.2500 0.3565 0.7130
Ga2 0.7500 0.6435 0.2870
Ni1 0.2500 0.9208 0.8415
Ni2 0.7500 0.0792 0.1585
Rh1 0.2500 0.1428 0.2856
Rh2 0.0000 0.2858 0.0000
Rh3 0.5000 0.7142 0.0000
Rh4 0.5000 0.2858 0.0000
Rh5 0.0000 0.7142 0.0000
Rh6 0.7500 0.8572 0.7144

# TlTe2Pb2 GGA-PBE relaxed
# * total magnetization: 0.0 Bohr magnetons per cell
# * energy relative to the lowest polymorph listed for this composition: 0.0 meV/atom
# * uncorrected formation energy: -0.212 eV per atom
# * volume: 338.3 Å³/cell
data_TlTe2Pb2
_chemical_formula_sum 'Tl2 Te4 Pb4'
_cell_length_a 8.9475
_cell_length_b 8.9475
_cell_length_c 4.2260
_cell_angle_alpha 90.00
_cell_angle_beta 90.00
_cell_angle_gamma 90.00
_symmetry_space_group_name_H-M 'P 1'
_symmetry_Int_Tables_number 1
loop_
_symmetry_equiv_pos_as_xyz
'x,y,z'
loop_
_atom_site_label
_atom_site_fract_x
_atom_site_fract_y
_atom_site_fract_z
Pb1 0.1431 0.6431 0.5000
Pb2 0.6431 0.8569 0.5000
Pb3 0.8569 0.3569 0.5000
Pb4 0.3569 0.1431 0.5000
Tl1 0.0000 0.0000 0.0000
Tl2 0.5000 0.5000 0.0000
Te1 0.3467 0.8467 0.0000
Te2 0.8467 0.6533 0.0000
Te3 0.6533 0.1533 0.0000
Te4 0.1533 0.3467 0.0000

# Ba2AgRu GGA-PBE relaxed
# * total magnetization: 0.0 Bohr magnetons per cell
# * energy relative to the lowest polymorph listed for this composition: 127.6 meV/atom
# * formation enthalpy at 0 K: 381 meV/atom
# * volume: 120.8 Å³/cell
data_Ba2AgRu
_chemical_formula_sum 'Ba2 Ag1 Ru1'
_cell_length_a 5.5493
_cell_length_b 5.5493
_cell_length_c 5.5493
_cell_angle_alpha 60.00
_cell_angle_beta 60.00
_cell_angle_gamma 60.00
_symmetry_space_group_name_H-M 'P 1'
_symmetry_Int_Tables_number 1
loop_
_symmetry_equiv_pos_as_xyz
'x,y,z'
loop_
_atom_site_label
_atom_site_fract_x
_atom_site_fract_y
_atom_site_fract_z
Ru1 0.0000 0.0000 0.0000
Ba1 0.2500 0.2500 0.2500
Ba2 0.7500 0.7500 0.7500
Ag1 0.5000 0.5000 0.5000

# Tm5HfIn6 GGA-PBE relaxed
# * total magnetization: 0.0 Bohr magnetons per cell
# * formation enthalpy at 0 K: -355 meV/atom
# * volume: 297.5 Å³/cell
data_Tm5HfIn6
_chemical_formula_sum 'Tm5 Hf1 In6'
_cell_length_a 5.5080
_cell_length_b 6.7376
_cell_length_c 8.7258
_cell_angle_alpha 112.71
_cell_angle_beta 94.74
_cell_angle_gamma 90.00
_symmetry_space_group_name_H-M 'P 1'
_symmetry_Int_Tables_number 1
loop_
_symmetry_equiv_pos_as_xyz
'x,y,z'
loop_
_atom_site_label
_atom_site_fract_x
_atom_site_fract_y
_atom_site_fract_z
Tm1 0.6813 0.1665 0.3331
Tm2 0.3250 0.3310 0.6619
Tm3 0.0000 0.5000 0.0000
Tm4 0.6750 0.6690 0.3381
Tm5 0.3187 0.8335 0.6669
Hf1 0.0000 0.0000 0.0000
In1 0.8243 0.5919 0.6763
In2 0.8243 0.0844 0.6763
In3 0.5000 0.7564 0.0000
In4 0.5000 0.2436 0.0000
In5 0.1757 0.9156 0.3237
In6 0.1757 0.4081 0.3237

# PPtRh2 GGA-PBE relaxed
# * total magnetization: 0.0 Bohr magnetons per cell
# * formation enthalpy at 0 K: -319 meV/atom
# * volume: 59.0 Å³/cell
data_PPtRh2
_chemical_formula_sum 'P1 Pt1 Rh2'
_cell_length_a 4.7126
_cell_length_b 4.7126
_cell_length_c 4.7763
_cell_angle_alpha 59.98
_cell_angle_beta 59.98
_cell_angle_gamma 41.19
_symmetry_space_group_name_H-M 'P 1'
_symmetry_Int_Tables_number 1
loop_
_symmetry_equiv_pos_as_xyz
'x,y,z'
loop_
_atom_site_label
_atom_site_fract_x
_atom_site_fract_y
_atom_site_fract_z
P1 0.4951 0.4951 0.6388
Pt1 0.1937 0.1937 0.2580
Rh1 0.0000 0.0000 0.9628
Rh2 0.8112 0.8112 0.6404

# Pm2ErTi GGA-PBE relaxed
# * total magnetization: 1.4 Bohr magnetons per cell
# * energy relative to the lowest polymorph listed for this composition: 216.2 meV/atom
# * formation enthalpy at 0 K: 443 meV/atom
# * volume: 117.2 Å³/cell
data_Pm2ErTi
_chemical_formula_sum 'Pm2 Er1 Ti1'
_cell_length_a 3.3819
_cell_length_b 3.3819
_cell_length_c 11.9904
_cell_angle_alpha 81.89
_cell_angle_beta 81.89
_cell_angle_gamma 60.00
_symmetry_space_group_name_H-M 'P 1'
_symmetry_Int_Tables_number 1
loop_
_symmetry_equiv_pos_as_xyz
'x,y,z'
loop_
_atom_site_label
_atom_site_fract_x
_atom_site_fract_y
_atom_site_fract_z
Pm1 0.0833 0.0833 0.7502
Pm2 0.9167 0.9167 0.2498
Ti1 0.0000 0.0000 0.0000
Er1 0.5000 0.5000 0.5000

# YCu2Si GGA-PBE relaxed
# * total magnetization: 0.0 Bohr magnetons per cell
# * uncorrected formation energy: -0.220 eV per atom
# * volume: 70.0 Å³/cell
data_YCu2Si
_chemical_formula_sum 'Y1 Cu2 Si1'
_cell_length_a 4.0789
_cell_length_b 3.3620
_cell_length_c 5.3685
_cell_angle_alpha 71.89
_cell_angle_beta 90.00
_cell_angle_gamma 90.00
_symmetry_space_group_name_H-M 'P 1'
_symmetry_Int_Tables_number 1
loop_
_symmetry_equiv_pos_as_xyz
'x,y,z'
loop_
_atom_site_label
_atom_site_fract_x
_atom_site_fract_y
_atom_site_fract_z
Cu1 0.0000 0.0093 0.1035
Cu2 0.5000 0.4452 0.2354
Si1 0.0000 0.3320 0.4609
Y1 0.5000 0.7135 0.7003